# Li3Si4 PBE-GGA optimized geometry
# N(E_F)   2.4 states/eV/f.u.
# V   14.813 A^3/atom
# E_tot   -0.143 Ha/atom
# M_tot   0.0 μB per cell
# Offset from the most stable computed form   0.00 eV per formula unit
# Formation energy (no corrections)   0.19 eV per formula unit
data_Li3Si4
_chemical_formula_sum 'Li6 Si8'
_cell_length_a 3.395
_cell_length_b 3.395
_cell_length_c 17.993
_cell_angle_alpha 90.00
_cell_angle_beta 90.00
_cell_angle_gamma 90.00
_space_group_name_H-M_alt 'I 4/m m m'
_space_group_IT_number 139
_space_group_name_Hall '-I 4 2'
loop_
_atom_site_label
_atom_site_type_symbol
_atom_site_fract_x
_atom_site_fract_y
_atom_site_fract_z
Li1 Li 0.000 0.000 0.000
Li2 Li 0.000 0.000 0.286
Si1 Si 0.000 0.000 0.133
Si2 Si 0.000 0.000 0.425